{
  "formula": "ZrScBe2",
  "functional": "PBEsol",
  "state": "relaxed",
  "formation_energy_mev_per_atom": -69,
  "spacegroup": "P4/mmm (123)",
  "lattice_angstrom": [[3.148, 0.000, 0.000], [0.000, 4.418, 0.000], [0.000, 0.000, 4.418]],
  "species": ["Be", "Be", "Sc", "Zr"],
  "fractional_positions": [[0.000, 0.500, 0.000], [0.000, 0.000, 0.500], [0.500, 0.500, 0.500], [0.500, 0.000, 0.000]]
}



{
  "formula": "BeIn2Si",
  "functional": "PBEsol",
  "state": "relaxed",
  "raw_formation_energy_ev_per_fu": 2.3,
  "spacegroup": "Fm-3m (225)",
  "lattice_angstrom": [[-0.580, 2.561, -3.954], [2.967, -0.579, -3.659], [-1.521, -2.091, -3.981]],
  "species": ["Si", "In", "In", "Be"],
  "fractional_positions": [[0.500, 0.500, 0.500], [0.250, 0.250, 0.250], [0.750, 0.750, 0.750], [0.000, 0.000, 0.000]]
}



{
  "formula": "TlTcAs2",
  "functional": "PBEsol",
  "state": "relaxed",
  "formation_energy_mev_per_atom": 371,
  "spacegroup": "P2/m (10)",
  "lattice_angstrom": [[-1.652, 2.354, -2.186], [-2.810, -3.169, -1.289], [-2.537, 0.415, 4.509]],
  "species": ["Tc", "As", "As", "Tl"],
  "fractional_positions": [[0.500, 0.500, 0.000], [0.318, 0.000, 0.176], [0.682, 0.000, 0.824], [0.000, 0.500, 0.500]]
}



{
  "formula": "ScCo3C",
  "functional": "PBEsol",
  "state": "relaxed",
  "formation_energy_mev_per_atom": 2723,
  "spacegroup": "Pm-3m (221)",
  "lattice_angstrom": [[4.259, 0.000, 0.000], [0.000, 4.259, 0.000], [0.000, 0.000, 4.259]],
  "species": ["C", "Co", "Co", "Co", "Sc"],
  "fractional_positions": [[0.500, 0.500, 0.500], [0.000, 0.000, 0.500], [0.500, 0.000, 0.000], [0.000, 0.500, 0.000], [0.000, 0.000, 0.000]]
}



{
  "formula": "K3Ga",
  "functional": "PBEsol",
  "state": "relaxed",
  "formation_energy_mev_per_atom": 190,
  "spacegroup": "I4/mmm (139)",
  "lattice_angstrom": [[5.604, 0.000, 0.000], [0.000, 5.604, 0.000], [-2.802, -2.802, 5.493]],
  "species": ["K", "K", "K", "Ga"],
  "fractional_positions": [[0.500, 0.500, 0.000], [0.250, 0.750, 0.500], [0.750, 0.250, 0.500], [0.000, 0.000, 0.000]]
}



{
  "formula": "NaFe4Sb12",
  "functional": "PBEsol",
  "state": "relaxed",
  "raw_formation_energy_ev_per_fu": -2.1,
  "spacegroup": "Im-3 (204)",
  "lattice_angstrom": [[-2.179, -0.795, -7.504], [7.824, -0.454, 0.516], [-3.243, -5.725, 4.289]],
  "species": ["Sb", "Sb", "Sb", "Sb", "Sb", "Sb", "Sb", "Sb", "Sb", "Sb", "Sb", "Sb", "Fe", "Fe", "Fe", "Fe", "Na"],
  "fractional_positions": [[0.162, 0.334, 0.495], [0.172, 0.838, 0.334], [0.162, 0.666, 0.828], [0.334, 0.172, 0.838], [0.495, 0.162, 0.334], [0.666, 0.828, 0.162], [0.334, 0.495, 0.162], [0.838, 0.334, 0.172], [0.838, 0.666, 0.505], [0.828, 0.162, 0.666], [0.505, 0.838, 0.666], [0.666, 0.505, 0.838], [0.500, 0.000, 0.000], [0.500, 0.500, 0.500], [0.000, 0.500, 0.000], [0.000, 0.000, 0.500], [0.000, 0.000, 0.000]]
}



{
  "formula": "ZrScIn2",
  "functional": "PBEsol",
  "state": "relaxed",
  "formation_energy_mev_per_atom": -433,
  "spacegroup": "Pmmm (47)",
  "lattice_angstrom": [[3.148, 0.000, 0.031], [0.000, 4.307, 0.000], [-0.062, 0.000, 6.256]],
  "species": ["Zr", "Sc", "In", "In"],
  "fractional_positions": [[0.500, 0.500, 0.500], [0.500, 0.500, 0.000], [0.000, 0.000, 0.752], [0.000, 0.000, 0.248]]
}



{
  "formula": "CrNiBr2",
  "functional": "PBEsol",
  "state": "relaxed",
  "raw_formation_energy_ev_per_fu": -0.2,
  "spacegroup": "R3m (160)",
  "lattice_angstrom": [[3.704, 0.000, 0.000], [1.852, 3.208, 0.000], [1.852, 1.069, 6.819]],
  "species": ["Ni", "Cr", "Br", "Br"],
  "fractional_positions": [[0.246, 0.246, 0.262], [0.515, 0.515, 0.456], [0.781, 0.781, 0.658], [0.958, 0.958, 0.125]]
}



{
  "formula": "ZrNiSn",
  "functional": "PBEsol",
  "state": "relaxed",
  "formation_energy_mev_per_atom": -743,
  "spacegroup": "F-43m (216)",
  "lattice_angstrom": [[-3.271, -2.355, -1.472], [-0.608, -3.985, 1.472], [-3.343, -0.859, 2.550]],
  "species": ["Zr", "Sn", "Ni"],
  "fractional_positions": [[0.000, 0.000, 0.000], [0.500, 0.500, 0.500], [0.750, 0.750, 0.750]]
}



{
  "formula": "Fe2HgIr",
  "functional": "PBEsol",
  "state": "relaxed",
  "formation_energy_mev_per_atom": 245,
  "spacegroup": "P4mm (99)",
  "lattice_angstrom": [[2.938, 0.000, 0.000], [0.000, 2.938, 0.000], [0.000, 0.000, 6.545]],
  "species": ["Fe", "Fe", "Ir", "Hg"],
  "fractional_positions": [[0.000, 0.000, 0.013], [0.500, 0.500, 0.208], [0.500, 0.500, 0.793], [0.000, 0.000, 0.485]]
}



{
  "formula": "CuSb4Rh",
  "functional": "PBEsol",
  "state": "relaxed",
  "raw_formation_energy_ev_per_fu": 5.7,
  "spacegroup": "F-43m (216)",
  "lattice_angstrom": [[-2.193, 0.649, 5.451], [-1.512, -4.759, 3.164], [3.230, -1.579, 4.692]],
  "species": ["Sb", "Sb", "Sb", "Sb", "Rh", "Cu"],
  "fractional_positions": [[0.873, 0.376, 0.376], [0.376, 0.873, 0.376], [0.376, 0.376, 0.376], [0.376, 0.376, 0.873], [0.000, 0.000, 0.000], [0.750, 0.750, 0.750]]
}



{
  "formula": "LiScSnW2",
  "functional": "PBEsol",
  "state": "relaxed",
  "formation_energy_mev_per_atom": 957,
  "spacegroup": "P4/mmm (123)",
  "lattice_angstrom": [[4.347, 0.000, 0.000], [0.000, 4.347, 0.000], [0.000, 0.000, 4.431]],
  "species": ["W", "W", "Sc", "Sn", "Li"],
  "fractional_positions": [[0.500, 0.000, 0.000], [0.000, 0.500, 0.000], [0.500, 0.500, 0.500], [0.000, 0.000, 0.500], [0.000, 0.000, 0.000]]
}



{
  "formula": "Si2TcNi",
  "functional": "PBEsol",
  "state": "relaxed",
  "raw_formation_energy_ev_per_fu": -2.1,
  "spacegroup": "Cm (8)",
  "lattice_angstrom": [[2.948, 0.000, 0.000], [0.000, 4.008, -0.009], [-1.474, -1.199, 4.118]],
  "species": ["Si", "Si", "Tc", "Ni"],
  "fractional_positions": [[0.001, 0.060, 0.003], [0.247, 0.692, 0.494], [0.509, 0.568, 0.019], [0.742, 0.180, 0.484]]
}



{
  "formula": "AlNiMo2",
  "functional": "PBEsol",
  "state": "relaxed",
  "formation_energy_mev_per_atom": -58,
  "spacegroup": "Cmmm (65)",
  "lattice_angstrom": [[-1.978, 1.742, 0.235], [-2.418, -2.269, -3.526], [-0.789, -1.508, 4.532]],
  "species": ["Mo", "Mo", "Al", "Ni"],
  "fractional_positions": [[0.000, 0.000, 0.500], [0.000, 0.500, 0.000], [0.500, 0.500, 0.500], [0.500, 0.000, 0.000]]
}



{
  "formula": "Ba4In2O7",
  "functional": "PBEsol",
  "state": "relaxed",
  "raw_formation_energy_ev_per_fu": -27.7,
  "spacegroup": "Cmcm (63)",
  "lattice_angstrom": [[5.921, 0.000, 0.000], [0.000, 5.936, 0.000], [-2.961, 0.000, 14.104]],
  "species": ["In", "In", "In", "In", "O", "O", "O", "O", "O", "O", "O", "O", "O", "O", "O", "O", "O", "O", "Ba", "Ba", "Ba", "Ba", "Ba", "Ba", "Ba", "Ba"],
  "fractional_positions": [[0.377, 0.750, 0.754], [0.891, 0.250, 0.781], [0.623, 0.250, 0.246], [0.109, 0.750, 0.219], [0.370, 0.993, 0.255], [0.115, 0.493, 0.745], [0.115, 0.007, 0.745], [0.630, 0.007, 0.745], [0.370, 0.507, 0.255], [0.036, 0.750, 0.072], [0.885, 0.507, 0.255], [0.703, 0.250, 0.405], [0.297, 0.750, 0.595], [0.630, 0.493, 0.745], [0.885, 0.993, 0.255], [0.545, 0.250, 0.090], [0.964, 0.250, 0.928], [0.455, 0.750, 0.910], [0.452, 0.250, 0.904], [0.316, 0.250, 0.633], [0.184, 0.250, 0.369], [0.947, 0.750, 0.895], [0.053, 0.250, 0.105], [0.548, 0.750, 0.096], [0.684, 0.750, 0.367], [0.816, 0.750, 0.631]]
}



{
  "formula": "AlCd2BN",
  "functional": "PBEsol",
  "state": "relaxed",
  "raw_formation_energy_ev_per_fu": 8.7,
  "spacegroup": "P4/mmm (123)",
  "lattice_angstrom": [[3.937, 0.000, 0.000], [0.000, 5.168, 0.000], [0.000, 0.000, 5.168]],
  "species": ["N", "Cd", "Cd", "B", "Al"],
  "fractional_positions": [[0.500, 0.500, 0.500], [0.000, 0.000, 0.500], [0.000, 0.500, 0.000], [0.500, 0.000, 0.000], [0.000, 0.000, 0.000]]
}



{
  "formula": "Al7Cu",
  "functional": "PBEsol",
  "state": "relaxed",
  "formation_energy_mev_per_atom": -14,
  "spacegroup": "Fm-3m (225)",
  "lattice_angstrom": [[5.581, 0.000, 0.000], [2.791, 4.834, 0.000], [2.791, 1.611, 4.557]],
  "species": ["Al", "Al", "Al", "Al", "Al", "Al", "Al", "Cu"],
  "fractional_positions": [[0.000, 0.000, 0.500], [0.500, 0.500, 0.500], [0.500, 0.000, 0.500], [0.000, 0.500, 0.500], [0.500, 0.500, 0.000], [0.500, 0.000, 0.000], [0.000, 0.500, 0.000], [0.000, 0.000, 0.000]]
}



{
  "formula": "ScMnCl2",
  "functional": "PBEsol",
  "state": "relaxed",
  "raw_formation_energy_ev_per_fu": -2.7,
  "spacegroup": "Immm (71)",
  "lattice_angstrom": [[3.376, 0.000, 0.000], [0.000, 4.603, 0.000], [-1.688, -2.302, 6.000]],
  "species": ["Cl", "Cl", "Mn", "Sc"],
  "fractional_positions": [[0.347, 0.347, 0.693], [0.653, 0.653, 0.307], [0.500, 0.000, 0.000], [0.000, 0.500, 0.000]]
}



{
  "formula": "YPd2Cl",
  "functional": "PBEsol",
  "state": "relaxed",
  "raw_formation_energy_ev_per_fu": -1.5,
  "spacegroup": "Fm-3m (225)",
  "lattice_angstrom": [[-2.079, 4.095, -1.099], [-4.684, 0.451, 0.397], [-1.831, 2.708, 3.408]],
  "species": ["Cl", "Y", "Pd", "Pd"],
  "fractional_positions": [[0.000, 0.000, 0.000], [0.500, 0.500, 0.500], [0.750, 0.750, 0.750], [0.250, 0.250, 0.250]]
}



{
  "formula": "CaMgZr",
  "functional": "PBEsol",
  "state": "relaxed",
  "formation_energy_mev_per_atom": 330,
  "spacegroup": "P3m1 (156)",
  "lattice_angstrom": [[-1.092, -1.351, 2.533], [4.988, -0.595, 1.834], [-2.768, 4.425, 1.166]],
  "species": ["Mg", "Ca", "Zr"],
  "fractional_positions": [[0.691, 0.333, 0.667], [0.956, 0.000, 0.000], [0.353, 0.667, 0.333]]
}



no.,spin magnetization (μB/f.u.)
1,0.00
2,0.00
3,0.00
4,3.14
5,0.65
6,3.03
7,0.15
8,3.35
9,0.00
10,5.65
11,0.00
12,0.00
13,0.00
14,0.14
15,0.02
16,1.93
17,0.00
18,3.91
19,0.00
20,0.00